[1]
A plane-wave DFT calculation with GGA-PBEsol was carried out for a geometry-optimized Ta5Rh structure.

```
data_Ta5Rh
_space_group_name_H-M_alt 'P 1'
_space_group_IT_number 1
_space_group_name_Hall 'P 1'
_cell_length_a 3.278
_cell_length_b 5.352
_cell_length_c 6.395
_cell_angle_alpha 107.84
_cell_angle_beta 90.00
_cell_angle_gamma 107.83
loop_
_atom_site_label
_atom_site_type_symbol
_atom_site_fract_x
_atom_site_fract_y
_atom_site_fract_z
Rh1 Rh 0.500 0.000 0.500
Ta1 Ta 0.166 0.331 0.334
Ta2 Ta 0.835 0.670 0.169
Ta3 Ta 0.500 0.000 0.000
Ta4 Ta 0.165 0.330 0.831
Ta5 Ta 0.834 0.669 0.666
```

* density of states at the Fermi level: 3.4 states/eV per cell
* E above lowest polymorph: 0 kJ/mol of formula units

[2]
A plane-wave DFT calculation with GGA-PBEsol was carried out for a geometry-optimized Ti3N2O3 structure.

```
data_Ti3N2O3
_space_group_name_H-M_alt 'P 1'
_space_group_IT_number 1
_space_group_name_Hall 'P 1'
_cell_length_a 3.741
_cell_length_b 5.258
_cell_length_c 9.920
_cell_angle_alpha 90.00
_cell_angle_beta 90.00
_cell_angle_gamma 110.84
loop_
_atom_site_label
_atom_site_type_symbol
_atom_site_fract_x
_atom_site_fract_y
_atom_site_fract_z
Ti1 Ti 0.866 0.733 0.943
Ti2 Ti 0.864 0.728 0.551
Ti3 Ti 0.804 0.609 0.247
Ti4 Ti 0.196 0.391 0.747
Ti5 Ti 0.136 0.272 0.051
Ti6 Ti 0.134 0.267 0.443
N1 N 0.953 0.906 0.382
N2 N 0.302 0.605 0.575
N3 N 0.698 0.395 0.075
N4 N 0.047 0.094 0.882
O1 O 0.956 0.912 0.120
O2 O 0.315 0.630 0.922
O3 O 0.245 0.489 0.260
O4 O 0.755 0.511 0.760
O5 O 0.685 0.370 0.422
O6 O 0.044 0.088 0.620
```

* density of states at the Fermi level: 0.0 states/eV per cell
* ΔE_f (raw): -2355.8 meV per atom
* E above lowest polymorph: 40 kJ/mol of formula units

[3]
A plane-wave DFT calculation with GGA-PBEsol was carried out for a geometry-optimized AsRu2Pb structure.

```
data_AsRu2Pb
_space_group_name_H-M_alt 'P 1'
_space_group_IT_number 1
_space_group_name_Hall 'P 1'
_cell_length_a 3.052
_cell_length_b 5.118
_cell_length_c 5.118
_cell_angle_alpha 107.32
_cell_angle_beta 105.55
_cell_angle_gamma 105.55
loop_
_atom_site_label
_atom_site_type_symbol
_atom_site_fract_x
_atom_site_fract_y
_atom_site_fract_z
Pb1 Pb 0.500 0.500 0.500
Ru1 Ru 0.000 0.500 0.000
Ru2 Ru 0.000 0.000 0.500
As1 As 0.500 0.000 0.000
```

* density of states at the Fermi level: 3.9 states/eV per cell
* E above lowest polymorph: 157 kJ/mol of formula units

[4]
A plane-wave DFT calculation with GGA-PBEsol was carried out for a geometry-optimized LaRhC2 structure.

```
data_LaRhC2
_space_group_name_H-M_alt 'P 1'
_space_group_IT_number 1
_space_group_name_Hall 'P 1'
_cell_length_a 4.876
_cell_length_b 4.876
_cell_length_c 6.408
_cell_angle_alpha 112.36
_cell_angle_beta 112.36
_cell_angle_gamma 90.00
loop_
_atom_site_label
_atom_site_type_symbol
_atom_site_fract_x
_atom_site_fract_y
_atom_site_fract_z
C1 C 0.489 0.875 0.250
C2 C 0.761 0.375 0.250
C3 C 0.125 0.239 0.750
C4 C 0.625 0.511 0.750
Rh1 Rh 0.750 0.250 0.500
Rh2 Rh 0.500 0.500 0.000
La1 La 0.250 0.750 0.500
La2 La 0.000 0.000 0.000
```

* density of states at the Fermi level: 4.3 states/eV per cell
* electronic total energy: -62.30 eV/cell

Copy entry 1 word for word.
A plane-wave DFT calculation with GGA-PBEsol was carried out for a geometry-optimized Ta5Rh structure.

```
data_Ta5Rh
_space_group_name_H-M_alt 'P 1'
_space_group_IT_number 1
_space_group_name_Hall 'P 1'
_cell_length_a 3.278
_cell_length_b 5.352
_cell_length_c 6.395
_cell_angle_alpha 107.84
_cell_angle_beta 90.00
_cell_angle_gamma 107.83
loop_
_atom_site_label
_atom_site_type_symbol
_atom_site_fract_x
_atom_site_fract_y
_atom_site_fract_z
Rh1 Rh 0.500 0.000 0.500
Ta1 Ta 0.166 0.331 0.334
Ta2 Ta 0.835 0.670 0.169
Ta3 Ta 0.500 0.000 0.000
Ta4 Ta 0.165 0.330 0.831
Ta5 Ta 0.834 0.669 0.666
```

* density of states at the Fermi level: 3.4 states/eV per cell
* E above lowest polymorph: 0 kJ/mol of formula units

Look up the density of states at the Fermi level of the first one.
3.4 states/eV per cell

The highest density of states at the Fermi level belongs to which entry?
LaRhC2

density of states at the Fermi level of number 2 (Ti3N2O3)?
0.0 states/eV per cell